(1)
ThIn | PBE-GGA | optimized geometry

Properties
- SG = Fm-3m

a b c (Å): 6.422 6.422 6.422
angles (deg): 90.00 90.00 90.00
Element x y z (fractional)
Th 0.000 0.000 0.000
Th 0.000 0.500 0.500
Th 0.500 0.000 0.500
Th 0.500 0.500 0.000
In 0.000 0.000 0.500
In 0.000 0.500 0.000
In 0.500 0.000 0.000
In 0.500 0.500 0.500


(2)
NdInAu3O4 | PBE-GGA | optimized geometry

Properties
- SG = P-43m

a b c (Å): 5.461 5.461 5.461
angles (deg): 90.00 90.00 90.00
Element x y z (fractional)
Nd 0.000 0.000 0.000
In 0.500 0.500 0.500
Au 0.000 0.000 0.500
Au 0.000 0.500 0.000
Au 0.500 0.000 0.000
O 0.268 0.268 0.732
O 0.268 0.732 0.268
O 0.732 0.268 0.268
O 0.732 0.732 0.732


(3)
Gd6IrS2 | PBE-GGA | optimized geometry

Properties
- SG = P-62m

a b c (Å): 7.995 7.995 3.901
angles (deg): 90.00 90.00 120.00
Element x y z (fractional)
Gd 0.000 0.254 0.000
Gd 0.000 0.588 0.500
Gd 0.254 0.000 0.000
Gd 0.412 0.412 0.500
Gd 0.588 0.000 0.500
Gd 0.746 0.746 0.000
Ir 0.000 0.000 0.500
S 0.333 0.667 0.000
S 0.667 0.333 0.000


(4)
Er4Tm3Ni2Te2 | PBE-GGA | optimized geometry

Properties
- SG = Imm2
- energy above the lowest structure with this stoichiometry (kJ/mol of formula units) = 4

a b c (Å): 9.276 9.276 9.276
angles (deg): 156.20 66.96 118.45
Element x y z (fractional)
Er 0.111 0.796 0.315
Er 0.133 0.000 0.133
Er 0.482 0.796 0.685
Er 0.867 0.000 0.867
Tm 0.417 0.417 0.000
Tm 0.501 0.147 0.354
Tm 0.794 0.147 0.646
Ni 0.252 0.489 0.763
Ni 0.727 0.489 0.237
Te 0.152 0.652 0.500
Te 0.754 0.754 0.000


(5)
RbGdCdS3 | PBE-GGA | optimized geometry

Properties
- SG = P2_1/m

a b c (Å): 8.448 4.168 10.579
angles (deg): 90.00 109.66 90.00
Element x y z (fractional)
Rb 0.242 0.250 0.231
Rb 0.758 0.750 0.769
Gd 0.184 0.750 0.629
Gd 0.816 0.250 0.371
Cd 0.417 0.250 0.887
Cd 0.583 0.750 0.113
S 0.032 0.750 0.362
S 0.268 0.750 0.936
S 0.414 0.250 0.650
S 0.586 0.750 0.350
S 0.732 0.250 0.064
S 0.968 0.250 0.638


(6)
ThSc2P6 | PBE-GGA | optimized geometry

Properties
- SG = P-62m

a b c (Å): 7.767 7.767 3.319
angles (deg): 90.00 90.00 120.00
Element x y z (fractional)
Th 0.000 0.000 0.000
Sc 0.333 0.667 0.500
Sc 0.667 0.333 0.500
P 0.000 0.313 0.500
P 0.000 0.526 0.000
P 0.313 0.000 0.500
P 0.474 0.474 0.000
P 0.526 0.000 0.000
P 0.687 0.687 0.500


(7)
MgZnTeO | PBE-GGA | optimized geometry

Properties
- SG = P4/nmm
- energy above the lowest structure with this stoichiometry (kJ/mol of formula units) = 19

a b c (Å): 3.953 3.953 10.006
angles (deg): 90.00 90.00 90.00
Element x y z (fractional)
Mg 0.250 0.250 0.000
Mg 0.750 0.750 0.000
Zn 0.250 0.250 0.397
Zn 0.750 0.750 0.603
Te 0.250 0.250 0.670
Te 0.750 0.750 0.330
O 0.250 0.750 0.000
O 0.750 0.250 0.000


(8)
TbTc2Mo2 | PBE-GGA | optimized geometry

Properties
- SG = I4/mmm
- energy above the lowest structure with this stoichiometry (kJ/mol of formula units) = 0

a b c (Å): 4.340 4.340 10.342
angles (deg): 90.00 90.00 90.00
Element x y z (fractional)
Tb 0.000 0.000 0.000
Tb 0.500 0.500 0.500
Tc 0.000 0.000 0.377
Tc 0.000 0.000 0.623
Tc 0.500 0.500 0.123
Tc 0.500 0.500 0.877
Mo 0.000 0.500 0.250
Mo 0.000 0.500 0.750
Mo 0.500 0.000 0.250
Mo 0.500 0.000 0.750


Taking the records one at a time from the top gives E values of -40.07, -41.24, -53.21, -56.53, -54.55, -57.91, -31.75, -93.45 eV per cell.